## TmPaNi2 (GGA-PBE)

Data for TmPaNi2 after structural relaxation.

Magnetic moment, μB/atom: 0.000
E above lowest polymorph, eV/atom: 0.000
Crystal system: monoclinic
Total DFT energy (no corrections), eV/atom: -6.81
Density, g/cm³: 11.255
Formation enthalpy at 0 K, eV/atom: -0.4237
DOS(E_F), states/eV/atom: 0.8200

abc: 3.467 4.298 5.409
angles: 90.00 108.77 90.00
Positions (direct):
Ni (0.005, 0.000, 0.550)
Ni (0.170, 0.500, 0.878)
Pa (0.715, 0.000, 0.968)
Tm (0.441, 0.500, 0.422)